(1)
## TiSnOs (PBE-GGA)

Data for TiSnOs after structural relaxation.

a = 3.093 Å, b = 3.093 Å, c = 11.853 Å
α = 97.50°, β = 97.50°, γ = 90.00°
Fractional positions:
Os  0.711  0.711  0.423
Os  0.289  0.289  0.577
Sn  0.563  0.563  0.126
Sn  0.437  0.437  0.874
Ti  0.849  0.849  0.699
Ti  0.151  0.151  0.301

Summary:
Space group: I4/mmm (139)
Raw total energy (eV per atom): -7.86


(2)
## AcInNi4 (PBE-GGA)

Data for AcInNi4 after structural relaxation.

a = 5.183 Å, b = 5.183 Å, c = 5.183 Å
α = 60.00°, β = 60.00°, γ = 60.00°
Fractional positions:
In  0.000  0.000  0.000
Ni  0.627  0.627  0.627
Ni  0.627  0.627  0.118
Ni  0.118  0.627  0.627
Ni  0.627  0.118  0.627
Ac  0.250  0.250  0.250

Summary:
Space group: F-43m (216)
Raw total energy (eV per atom): -5.18


(3)
## SrCd2NiBi (PBE-GGA)

Data for SrCd2NiBi after structural relaxation.

a = 5.048 Å, b = 5.048 Å, c = 5.261 Å
α = 90.00°, β = 90.00°, γ = 90.00°
Fractional positions:
Bi  0.000  0.000  0.500
Cd  0.000  0.500  0.000
Cd  0.500  0.000  0.000
Sr  0.500  0.500  0.500
Ni  0.000  0.000  0.000

Summary:
Space group: P4/mmm (123)
Raw total energy (eV per atom): -2.84


Calculated formation energy (eV/atom), listed in the same order as above: -0.16; -0.18; -0.20
Calculated Fermi-level density of states (states/eV per cell), listed in the same order as above: 3.849; 3.535; 2.760